(1)
# Pu2UAu, relaxed, DFT GGA-PBE
data_Pu2UAu
_chemical_formula_sum 'Pu2 U1 Au1'
_space_group_name_H-M_alt 'P 4/m m m'
_space_group_IT_number 123
_space_group_name_Hall '-P 4 2'
_cell_length_a 3.419
_cell_length_b 3.419
_cell_length_c 7.655
_cell_angle_alpha 90.00
_cell_angle_beta 90.00
_cell_angle_gamma 90.00
loop_
_atom_site_label
_atom_site_type_symbol
_atom_site_fract_x
_atom_site_fract_y
_atom_site_fract_z
Pu1 Pu 0.000 0.000 0.243
U1 U 0.500 0.500 0.000
Au1 Au 0.500 0.500 0.500
# DFT total energy	-43.24	eV for the cell shown
# magnetic moment	11.5	μB per formula unit



(2)
# TeC3, relaxed, DFT GGA-PBE
data_TeC3
_chemical_formula_sum 'Te4 C12'
_space_group_name_H-M_alt 'C m c m'
_space_group_IT_number 63
_space_group_name_Hall '-C 2c 2'
_cell_length_a 4.144
_cell_length_b 18.662
_cell_length_c 3.168
_cell_angle_alpha 90.00
_cell_angle_beta 90.00
_cell_angle_gamma 90.00
loop_
_atom_site_label
_atom_site_type_symbol
_atom_site_fract_x
_atom_site_fract_y
_atom_site_fract_z
Te1 Te 0.000 0.156 0.250
C1 C 0.000 0.244 0.750
C2 C 0.155 0.389 0.250
# magnetic moment	0.0	μB per formula unit
# E_form (uncorrected)	9.2	eV per formula unit



(3)
# TcTeP2, relaxed, DFT GGA-PBE
data_TcTeP2
_chemical_formula_sum 'Tc2 Te2 P4'
_space_group_name_H-M_alt 'C 1 m 1'
_space_group_IT_number 8
_cell_length_a 7.792
_cell_length_b 3.167
_cell_length_c 7.325
_cell_angle_alpha 90.00
_cell_angle_beta 93.88
_cell_angle_gamma 90.00
loop_
_space_group_symop_operation_xyz
'x,y,z'
'x,-y,z'
'x+1/2,y+1/2,z'
'x+1/2,-y+1/2,z'
loop_
_atom_site_label
_atom_site_type_symbol
_atom_site_fract_x
_atom_site_fract_y
_atom_site_fract_z
Tc1 Tc 0.000 0.000 0.000
Te1 Te 0.261 0.000 0.741
P1 P 0.020 0.500 0.271
P2 P 0.214 0.500 0.094
# magnetic moment	0.0	μB per formula unit
# E_form (uncorrected)	-0.3	eV per formula unit